{"formula": "BaHO", "functional": "PBE", "state": "optimized geometry", "lattice_angstrom": [[4.754, 0.000, 0.000], [0.000, 5.508, 0.000], [0.000, 0.000, 8.278]], "species": ["O", "O", "O", "O", "H", "H", "H", "H", "Ba", "Ba", "Ba", "Ba"], "fractional_positions": [[0.000, 0.000, 0.924], [0.000, 0.500, 0.588], [0.500, 0.500, 0.076], [0.500, 0.000, 0.412], [0.000, 0.432, 0.249], [0.000, 0.568, 0.249], [0.500, 0.068, 0.751], [0.500, 0.932, 0.751], [0.000, 0.000, 0.581], [0.500, 0.000, 0.085], [0.500, 0.500, 0.419], [0.000, 0.500, 0.915]], "spacegroup": "Pmmn", "vol_a3_per_cell": 216.8, "total_magnetization_mub_per_atom": 0.0000, "final_energy_ev_per_atom": -4.98}



{"formula": "Ba2H2O3", "functional": "PBE", "state": "optimized geometry", "lattice_angstrom": [[-0.139, 1.016, -3.651], [-2.895, -3.170, -0.772], [-4.391, 4.334, 3.342]], "species": ["H", "H", "O", "O", "O", "Ba", "Ba"], "fractional_positions": [[0.904, 0.230, 0.808], [0.096, 0.770, 0.192], [0.166, 0.705, 0.331], [0.000, 0.000, 0.000], [0.834, 0.295, 0.669], [0.634, 0.216, 0.267], [0.366, 0.784, 0.733]], "spacegroup": "C2/m", "vol_a3_per_cell": 110.9, "total_magnetization_mub_per_atom": 0.0000, "final_energy_ev_per_atom": -5.61}



{"formula": "BaHO", "functional": "PBE", "state": "optimized geometry", "lattice_angstrom": [[-4.201, -2.836, 2.025], [-2.413, -6.615, 0.283], [-0.151, -4.285, 3.435]], "species": ["Ba", "O", "H"], "fractional_positions": [[0.712, 0.587, 0.005], [0.443, 0.224, 0.735], [0.579, 0.160, 0.867]], "spacegroup": "P1", "vol_a3_per_cell": 85.9, "total_magnetization_mub_per_atom": 0.0000, "final_energy_ev_per_atom": -4.85}



{"formula": "BaHO2", "functional": "PBE", "state": "optimized geometry", "lattice_angstrom": [[-0.373, -1.443, 4.158], [-3.722, 0.726, 2.264], [-2.707, -3.362, 0.936]], "species": ["O", "O", "Ba", "H"], "fractional_positions": [[0.250, 0.250, 0.250], [0.750, 0.750, 0.750], [0.500, 0.500, 0.500], [0.000, 0.000, 0.000]], "spacegroup": "Fm-3m", "vol_a3_per_cell": 60.9, "total_magnetization_mub_per_atom": 0.2500, "final_energy_ev_per_atom": -4.19}



{"formula": "Ba12H3O5", "functional": "PBE", "state": "optimized geometry", "lattice_angstrom": [[15.110, 0.000, 0.000], [-5.037, 14.245, 0.000], [-5.037, -7.123, 12.337]], "species": ["O", "O", "O", "O", "O", "O", "O", "O", "O", "O", "O", "O", "O", "O", "O", "O", "O", "O", "O", "O", "H", "H", "H", "H", "H", "H", "H", "H", "H", "H", "H", "H", "Ba", "Ba", "Ba", "Ba", "Ba", "Ba", "Ba", "Ba", "Ba", "Ba", "Ba", "Ba", "Ba", "Ba", "Ba", "Ba", "Ba", "Ba", "Ba", "Ba", "Ba", "Ba", "Ba", "Ba", "Ba", "Ba", "Ba", "Ba", "Ba", "Ba", "Ba", "Ba", "Ba", "Ba", "Ba", "Ba", "Ba", "Ba", "Ba", "Ba", "Ba", "Ba", "Ba", "Ba", "Ba", "Ba", "Ba", "Ba"], "fractional_positions": [[0.500, 0.500, 0.000], [0.125, 0.375, 0.250], [0.875, 0.625, 0.750], [0.375, 0.250, 0.125], [0.500, 0.000, 0.500], [0.875, 0.250, 0.625], [0.625, 0.875, 0.250], [0.500, 0.000, 0.000], [0.000, 0.500, 0.000], [0.000, 0.000, 0.000], [0.125, 0.750, 0.375], [0.500, 0.500, 0.500], [0.000, 0.500, 0.500], [0.250, 0.875, 0.125], [0.375, 0.125, 0.750], [0.000, 0.000, 0.500], [0.625, 0.750, 0.875], [0.250, 0.375, 0.625], [0.750, 0.625, 0.375], [0.750, 0.125, 0.875], [0.375, 0.750, 0.625], [0.750, 0.375, 0.125], [0.750, 0.875, 0.625], [0.250, 0.125, 0.375], [0.125, 0.875, 0.750], [0.375, 0.625, 0.250], [0.250, 0.625, 0.875], [0.625, 0.250, 0.375], [0.875, 0.125, 0.250], [0.125, 0.250, 0.875], [0.875, 0.750, 0.125], [0.625, 0.375, 0.750], [0.300, 0.421, 0.818], [0.897, 0.818, 0.518], [0.379, 0.982, 0.800], [0.421, 0.300, 0.318], [0.818, 0.921, 0.300], [0.018, 0.621, 0.700], [0.518, 0.318, 0.897], [0.079, 0.182, 0.200], [0.379, 0.397, 0.079], [0.603, 0.621, 0.421], [0.200, 0.518, 0.621], [0.397, 0.379, 0.579], [0.018, 0.397, 0.818], [0.182, 0.103, 0.982], [0.318, 0.800, 0.421], [0.897, 0.079, 0.879], [0.879, 0.579, 0.897], [0.700, 0.121, 0.018], [0.982, 0.603, 0.182], [0.800, 0.482, 0.379], [0.300, 0.879, 0.982], [0.682, 0.482, 0.603], [0.800, 0.318, 0.921], [0.982, 0.379, 0.300], [0.621, 0.603, 0.921], [0.921, 0.818, 0.800], [0.579, 0.700, 0.682], [0.121, 0.700, 0.518], [0.121, 0.421, 0.103], [0.682, 0.200, 0.579], [0.700, 0.579, 0.182], [0.103, 0.182, 0.482], [0.921, 0.103, 0.621], [0.482, 0.800, 0.879], [0.879, 0.300, 0.482], [0.397, 0.018, 0.318], [0.103, 0.921, 0.121], [0.482, 0.682, 0.103], [0.518, 0.200, 0.121], [0.318, 0.518, 0.397], [0.603, 0.982, 0.682], [0.200, 0.682, 0.079], [0.079, 0.897, 0.379], [0.182, 0.079, 0.700], [0.421, 0.121, 0.603], [0.621, 0.018, 0.200], [0.818, 0.897, 0.018], [0.579, 0.879, 0.397]], "spacegroup": "Ia-3d", "vol_a3_per_cell": 2655.4, "total_magnetization_mub_per_atom": 0.3061, "final_energy_ev_per_atom": -3.99}



{"formula": "BaH4O6", "functional": "PBE", "state": "optimized geometry", "lattice_angstrom": [[-5.493, -2.162, -2.656], [-3.250, -5.596, -0.162], [-7.269, -0.044, 6.478]], "species": ["O", "O", "O", "O", "O", "O", "O", "O", "O", "O", "O", "O", "H", "H", "H", "H", "H", "H", "H", "H", "Ba", "Ba"], "fractional_positions": [[0.175, 0.439, 0.130], [0.439, 0.175, 0.630], [0.945, 0.276, 0.929], [0.561, 0.825, 0.370], [0.055, 0.724, 0.071], [0.825, 0.561, 0.870], [0.735, 0.526, 0.638], [0.276, 0.945, 0.429], [0.724, 0.055, 0.571], [0.526, 0.735, 0.138], [0.265, 0.474, 0.362], [0.474, 0.265, 0.862], [0.783, 0.584, 0.694], [0.584, 0.783, 0.194], [0.715, 0.636, 0.533], [0.416, 0.217, 0.806], [0.636, 0.715, 0.033], [0.364, 0.285, 0.967], [0.285, 0.364, 0.467], [0.217, 0.416, 0.306], [0.906, 0.094, 0.250], [0.094, 0.906, 0.750]], "spacegroup": "C2/c", "vol_a3_per_cell": 258.8, "total_magnetization_mub_per_atom": 0.1820, "final_energy_ev_per_atom": -5.14}



{"formula": "BaHO2", "functional": "PBE", "state": "optimized geometry", "lattice_angstrom": [[-3.559, -0.704, -1.868], [0.760, -7.663, 1.439], [-4.019, 5.276, 5.671]], "species": ["H", "H", "H", "H", "O", "O", "O", "O", "O", "O", "O", "O", "Ba", "Ba", "Ba", "Ba"], "fractional_positions": [[0.772, 0.544, 0.479], [0.228, 0.456, 0.521], [0.728, 0.044, 0.979], [0.272, 0.956, 0.021], [0.123, 0.774, 0.241], [0.623, 0.726, 0.259], [0.269, 0.845, 0.897], [0.377, 0.274, 0.741], [0.231, 0.345, 0.397], [0.731, 0.155, 0.103], [0.769, 0.655, 0.603], [0.877, 0.226, 0.759], [0.772, 0.631, 0.901], [0.272, 0.869, 0.599], [0.728, 0.131, 0.401], [0.228, 0.369, 0.099]], "spacegroup": "P2_1/c", "vol_a3_per_cell": 238.8, "total_magnetization_mub_per_atom": 0.0423, "final_energy_ev_per_atom": -5.38}



{"formula": "BaH4O6", "functional": "PBE", "state": "optimized geometry", "lattice_angstrom": [[5.231, 0.053, 0.274], [2.127, 5.561, 0.250], [0.923, 1.288, 8.870]], "species": ["O", "O", "O", "O", "O", "O", "O", "O", "O", "O", "O", "O", "H", "H", "H", "H", "H", "H", "H", "H", "Ba", "Ba"], "fractional_positions": [[0.886, 0.646, 0.223], [0.595, 0.525, 0.604], [0.835, 0.784, 0.065], [0.229, 0.203, 0.948], [0.373, 0.956, 0.297], [0.697, 0.937, 0.689], [0.852, 0.860, 0.566], [0.489, 0.593, 0.049], [0.592, 0.410, 0.943], [0.213, 0.045, 0.423], [0.388, 0.407, 0.391], [0.080, 0.356, 0.813], [0.702, 0.630, 0.555], [0.253, 0.529, 0.323], [0.698, 0.720, 0.276], [0.876, 0.394, 0.860], [0.513, 0.490, 0.524], [0.312, 0.270, 0.428], [0.375, 0.282, 0.948], [0.641, 0.677, 0.039], [0.845, 0.147, 0.209], [0.212, 0.825, 0.787]], "spacegroup": "P1", "vol_a3_per_cell": 254.7, "total_magnetization_mub_per_atom": 0.0911, "final_energy_ev_per_atom": -5.07}